# PmNd2Er4 | Alexandria | PBE | relaxed
# SG = No. 2
# E = -4.601 eV/atom
# DOS at the Fermi energy = 10.11 states/eV per cell
data_PmNd2Er4
_cell_length_a 3.542
_cell_length_b 8.600
_cell_length_c 8.798
_cell_angle_alpha 119.21
_cell_angle_beta 90.05
_cell_angle_gamma 101.85
_symmetry_space_group_name_H-M 'P 1'
_symmetry_Int_Tables_number 1
loop_
_symmetry_equiv_pos_as_xyz
'x,y,z'
loop_
_atom_site_label
_atom_site_fract_x
_atom_site_fract_y
_atom_site_fract_z
Pm1 0.000 0.000 0.000
Nd1 0.068 0.138 0.428
Nd2 0.932 0.862 0.572
Er1 0.294 0.587 0.707
Er2 0.352 0.705 0.155
Er3 0.648 0.295 0.845
Er4 0.706 0.413 0.293